# 1
# Sm2GdO (GGA-PBE, relaxed)
data_Sm2GdO
_chemical_formula_sum 'Sm6 Gd3 O3'
_space_group_name_H-M_alt 'R -3 m'
_space_group_IT_number 166
_space_group_name_Hall '-R 3 2"'
_cell_length_a 3.5749
_cell_length_b 3.5749
_cell_length_c 28.1712
_cell_angle_alpha 90.00
_cell_angle_beta 90.00
_cell_angle_gamma 120.00
loop_
_atom_site_label
_atom_site_fract_x
_atom_site_fract_y
_atom_site_fract_z
Sm1 0.0000 0.0000 0.1188
Gd1 0.0000 0.0000 0.0000
O1 0.0000 0.0000 0.5000
# VASP energy, Ry/atom: -0.609
# Spin magnetization, μB/f.u.: 7.72
# Formation energy from raw total energies, eV/atom: -1.168

# 2
# Sm2GdO (GGA-PBE, relaxed)
data_Sm2GdO
_chemical_formula_sum 'Sm2 Gd1 O1'
_space_group_name_H-M_alt 'P 4/m m m'
_space_group_IT_number 123
_space_group_name_Hall '-P 4 2'
_cell_length_a 3.2169
_cell_length_b 3.2169
_cell_length_c 9.1012
_cell_angle_alpha 90.00
_cell_angle_beta 90.00
_cell_angle_gamma 90.00
loop_
_atom_site_label
_atom_site_fract_x
_atom_site_fract_y
_atom_site_fract_z
Sm1 0.0000 0.0000 0.1698
Gd1 0.5000 0.5000 0.5000
O1 0.5000 0.5000 0.0000
# VASP energy, Ry/atom: -0.583
# Spin magnetization, μB/f.u.: 7.51
# Formation energy from raw total energies, eV/atom: -0.814

Copy entry 2 word for word.
# Sm2GdO (GGA-PBE, relaxed)
data_Sm2GdO
_chemical_formula_sum 'Sm2 Gd1 O1'
_space_group_name_H-M_alt 'P 4/m m m'
_space_group_IT_number 123
_space_group_name_Hall '-P 4 2'
_cell_length_a 3.2169
_cell_length_b 3.2169
_cell_length_c 9.1012
_cell_angle_alpha 90.00
_cell_angle_beta 90.00
_cell_angle_gamma 90.00
loop_
_atom_site_label
_atom_site_fract_x
_atom_site_fract_y
_atom_site_fract_z
Sm1 0.0000 0.0000 0.1698
Gd1 0.5000 0.5000 0.5000
O1 0.5000 0.5000 0.0000
# VASP energy, Ry/atom: -0.583
# Spin magnetization, μB/f.u.: 7.51
# Formation energy from raw total energies, eV/atom: -0.814